Record 1
Density functional theory data (GGA-PBE) for a relaxed Ce2NiP4Rh3 crystal.

Computed properties:
**Formation energy**: -1075 meV per atom

Unit cell a=4.180 b=4.180 c=9.307 alpha=90.00 beta=90.00 gamma=90.00
Space group P-4m2 (No. 115)
Asymmetric unit:
Ce  0.000  0.500  0.248 x2
Ni  0.000  0.000  0.500 x1
P  0.000  0.000  0.000 x1
P  0.000  0.500  0.630 x2
P  0.500  0.500  0.000 x1
Rh  0.000  0.500  0.886 x2
Rh  0.500  0.500  0.500 x1

=====

Record 2
Density functional theory data (GGA-PBE) for a relaxed Pr2Er7Sc3 crystal.

Computed properties:
**Formation energy**: 149 meV per atom

Unit cell a=5.645 b=36.906 c=3.524 alpha=90.00 beta=90.00 gamma=90.00
Space group Cmmm (No. 65)
Asymmetric unit:
Pr  0.000  0.174  0.000 x4
Er  0.000  0.000  0.000 x2
Er  0.000  0.088  0.500 x4
Er  0.000  0.274  0.000 x4
Er  0.000  0.430  0.000 x4
Sc  0.000  0.353  0.500 x4
Sc  0.000  0.500  0.500 x2

=====

Record 3
Density functional theory data (GGA-PBE) for a relaxed FePOs2Au crystal.

Computed properties:
**Formation energy**: 100 meV per atom

Unit cell a=2.750 b=2.750 c=9.559 alpha=90.00 beta=90.00 gamma=90.00
Space group P4mm (No. 99)
Asymmetric unit:
Fe  0.000  0.000  0.000 x1
P  0.500  0.500  0.127 x1
Os  0.000  0.000  0.618 x1
Os  0.500  0.500  0.801 x1
Au  0.500  0.500  0.387 x1

=====

Record 4
Density functional theory data (GGA-PBE) for a relaxed BaSr2CaCd crystal.

Computed properties:
**Formation energy**: 40 meV per atom

Unit cell a=6.447 b=6.447 c=6.533 alpha=90.00 beta=90.00 gamma=90.00
Space group P4/mmm (No. 123)
Asymmetric unit:
Ba  0.000  0.000  0.000 x1
Sr  0.000  0.500  0.500 x2
Ca  0.500  0.500  0.000 x1
Cd  0.000  0.000  0.500 x1

=====

Record 5
Density functional theory data (GGA-PBE) for a relaxed Ba2PtF crystal.

Computed properties:
**Formation energy (no corrections)**: -6.877 eV per formula unit

Unit cell a=4.4029 b=4.4029 c=21.4843 alpha=90.00 beta=90.00 gamma=120.00
Space group R-3m (No. 166, hexagonal axes)
Asymmetric unit:
Ba  0.0000  0.0000  0.2476 x6
Pt  0.0000  0.0000  0.0000 x3
F  0.0000  0.0000  0.5000 x3

=====

Record 6
Density functional theory data (GGA-PBE) for a relaxed Al2InSb crystal.

Computed properties:
**Formation energy (no corrections)**: 0.851 eV per formula unit

Unit cell a=7.144 b=7.144 c=7.144 alpha=90.00 beta=90.00 gamma=90.00
Space group Fm-3m (No. 225)
Asymmetric unit:
Al  0.250  0.250  0.250 x8
In  0.000  0.000  0.000 x4
Sb  0.000  0.000  0.500 x4

=====

Record 7
Density functional theory data (GGA-PBE) for a relaxed Tl5VSe5 crystal.

Computed properties:
**Formation energy (no corrections)**: -3.665 eV per formula unit

Unit cell a=13.903 b=5.941 c=8.501 alpha=90.00 beta=112.51 gamma=90.00
Space group C2/m (No. 12)
Asymmetric unit:
Tl  0.000  0.000  0.000 x2
Tl  0.139  0.500  0.289 x4
Tl  0.200  0.500  0.804 x4
V  0.000  0.000  0.500 x2
Se  0.000  0.500  0.500 x2
Se  0.131  0.000  0.791 x4
Se  0.146  0.000  0.400 x4

=====

Record 8
Density functional theory data (GGA-PBE) for a relaxed NiSbAs crystal.

Computed properties:
**Formation energy (no corrections)**: -0.650 eV per formula unit

Unit cell a=6.254 b=6.097 c=6.268 alpha=90.00 beta=106.83 gamma=90.00
Space group P2_1/c (No. 14)
Asymmetric unit:
Ni  0.233  0.010  0.241 x4
Sb  0.351  0.630  0.148 x4
As  0.139  0.142  0.861 x4

=====

Record 9
Density functional theory data (GGA-PBE) for a relaxed Dy2Ho2Ag crystal.

Computed properties:
**Formation energy**: -103 meV per atom

Unit cell a=3.534 b=3.534 c=22.784 alpha=90.00 beta=90.00 gamma=90.00
Space group I4/mmm (No. 139)
Asymmetric unit:
Dy  0.000  0.000  0.195 x4
Ho  0.000  0.000  0.416 x4
Ag  0.000  0.000  0.000 x2

=====

Record 10
Density functional theory data (GGA-PBE) for a relaxed Dy6Y4Pu crystal.

Computed properties:
**Formation energy**: 162 meV per atom

Unit cell a=3.530 b=23.215 c=17.254 alpha=90.00 beta=90.00 gamma=90.00
Space group Cmcm (No. 63)
Asymmetric unit:
Dy  0.000  0.000  0.000 x4
Dy  0.000  0.256  0.250 x4
Dy  0.000  0.260  0.582 x8
Dy  0.000  0.490  0.160 x8
Y  0.000  0.119  0.141 x8
Y  0.000  0.370  0.052 x8
Pu  0.000  0.121  0.750 x4

=====

Record 11
Density functional theory data (GGA-PBE) for a relaxed La4ErIn5 crystal.

Computed properties:
**Formation energy**: -505 meV per atom

Unit cell a=3.858 b=3.858 c=20.070 alpha=90.00 beta=90.00 gamma=90.00
Space group P4/mmm (No. 123)
Asymmetric unit:
La  0.000  0.000  0.103 x2
La  0.000  0.000  0.309 x2
Er  0.000  0.000  0.500 x1
In  0.500  0.500  0.000 x1
In  0.500  0.500  0.206 x2
In  0.500  0.500  0.414 x2

=====

Record 12
Density functional theory data (GGA-PBE) for a relaxed LaBeIn2 crystal.

Computed properties:
**Formation energy**: -103 meV per atom

Unit cell a=5.649 b=8.025 c=4.308 alpha=90.00 beta=90.00 gamma=90.00
Space group Cmmm (No. 65)
Asymmetric unit:
La  0.000  0.000  0.000 x2
Be  0.000  0.500  0.000 x2
In  0.000  0.321  0.500 x4

=====

Record 13
Density functional theory data (GGA-PBE) for a relaxed Zn7NiAu12 crystal.

Computed properties:
**Formation energy**: -87 meV per atom

Unit cell a=11.3690 b=11.3690 c=9.3036 alpha=90.00 beta=90.00 gamma=120.00
Space group R-3 (No. 148, hexagonal axes)
Asymmetric unit:
Zn  0.0000  0.0000  0.0000 x3
Zn  0.0119  0.8706  0.7231 x18
Ni  0.0000  0.0000  0.5000 x3
Au  0.0418  0.2456  0.9214 x18
Au  0.0535  0.5701  0.1362 x18

=====

Record 14
Density functional theory data (GGA-PBE) for a relaxed TlSbC crystal.

Computed properties:
**Formation energy (no corrections)**: 2.515 eV per formula unit

Unit cell a=5.993 b=3.454 c=7.013 alpha=90.00 beta=107.31 gamma=90.00
Space group Cm (No. 8)
Asymmetric unit:
Tl  0.000  0.000  0.000 x2
Sb  0.006  0.500  0.507 x2
C  0.125  0.000  0.367 x2

=====

Record 15
Density functional theory data (GGA-PBE) for a relaxed NiPtSe2 crystal.

Computed properties:
**Formation energy (no corrections)**: -0.258 eV per formula unit

Unit cell a=3.354 b=3.354 c=6.707 alpha=90.00 beta=90.00 gamma=90.00
Space group P4mm (No. 99)
Asymmetric unit:
Ni  0.000  0.000  0.000 x1
Pt  0.500  0.500  0.226 x1
Se  0.000  0.000  0.378 x1
Se  0.500  0.500  0.851 x1

=====

Record 16
Density functional theory data (GGA-PBE) for a relaxed LiPr2AsO5 crystal.

Computed properties:
**Formation energy (no corrections)**: -19.222 eV per formula unit

Unit cell a=6.839 b=6.839 c=5.984 alpha=90.00 beta=90.00 gamma=90.00
Space group P4/mbm (No. 127)
Asymmetric unit:
Li  0.000  0.000  0.000 x2
Pr  0.176  0.324  0.500 x4
As  0.000  0.500  0.000 x2
O  0.000  0.000  0.500 x2
O  0.138  0.638  0.247 x8

=====

Record 17
Density functional theory data (GGA-PBE) for a relaxed Ac4TeRuCl2 crystal.

Computed properties:
**Formation energy (no corrections)**: -9.387 eV per formula unit

Unit cell a=7.798 b=4.363 c=8.437 alpha=90.00 beta=108.03 gamma=90.00
Space group P2/m (No. 10)
Asymmetric unit:
Ac  0.215  0.000  0.207 x2
Ac  0.235  0.500  0.785 x2
Te  0.000  0.000  0.500 x1
Ru  0.000  0.500  0.000 x1
Cl  0.500  0.000  0.000 x1
Cl  0.500  0.500  0.500 x1

=====

Record 18
Density functional theory data (GGA-PBE) for a relaxed PtAuC2 crystal.

Computed properties:
**Formation energy**: 1346 meV per atom

Unit cell a=4.955 b=4.955 c=9.214 alpha=90.00 beta=90.00 gamma=90.00
Space group I-42d (No. 122)
Asymmetric unit:
Pt  0.000  0.000  0.000 x4
Au  0.000  0.000  0.500 x4
C  0.220  0.250  0.125 x8

=====

Record 19
Density functional theory data (GGA-PBE) for a relaxed Li2YGeAs crystal.

Computed properties:
**Formation energy**: -415 meV per atom

Unit cell a=4.594 b=4.594 c=5.569 alpha=90.00 beta=90.00 gamma=90.00
Space group P4/mmm (No. 123)
Asymmetric unit:
Li  0.000  0.500  0.000 x2
Y  0.000  0.000  0.500 x1
Ge  0.500  0.500  0.500 x1
As  0.000  0.000  0.000 x1

=====

Record 20
Density functional theory data (GGA-PBE) for a relaxed CaSc2F crystal.

Computed properties:
**Formation energy (no corrections)**: -4.006 eV per formula unit

Unit cell a=6.838 b=6.838 c=8.818 alpha=90.00 beta=90.00 gamma=90.00
Space group I-42d (No. 122)
Asymmetric unit:
Ca  0.000  0.000  0.000 x4
Sc  0.080  0.250  0.625 x8
F  0.000  0.000  0.500 x4

=====

Record 21
Density functional theory data (GGA-PBE) for a relaxed Ac3PuAl8 crystal.

Computed properties:
**Formation energy**: -337 meV per atom

Unit cell a=5.8166 b=5.8166 c=28.5414 alpha=90.00 beta=90.00 gamma=120.00
Space group R3m (No. 160, hexagonal axes)
Asymmetric unit:
Ac  0.0000  0.0000  0.0000 x3
Ac  0.0000  0.0000  0.1269 x3
Ac  0.0000  0.0000  0.5048 x3
Pu  0.0000  0.0000  0.6273 x3
Al  0.0000  0.0000  0.3137 x3
Al  0.0000  0.0000  0.8148 x3
Al  0.1674  0.3349  0.8995 x9
Al  0.1679  0.3358  0.3961 x9

=====

Record 22
Density functional theory data (GGA-PBE) for a relaxed Na2MgIr crystal.

Computed properties:
**Formation energy**: 376 meV per atom

Unit cell a=3.879 b=3.879 c=21.518 alpha=90.00 beta=90.00 gamma=90.00
Space group I-42d (No. 122)
Asymmetric unit:
Na  0.236  0.250  0.125 x8
Mg  0.000  0.000  0.500 x4
Ir  0.000  0.000  0.000 x4

=====

Record 23
Density functional theory data (GGA-PBE) for a relaxed BaWN3 crystal.

Computed properties:
**Formation energy (no corrections)**: 0.585 eV per formula unit

Unit cell a=3.6833 b=3.6833 c=14.0560 alpha=90.00 beta=90.00 gamma=120.00
Space group P6_3/mmc (No. 194)
Asymmetric unit:
Ba  0.0000  0.0000  0.0000 x2
W  0.3333  0.6667  0.2500 x2
N  0.0000  0.0000  0.2500 x2
N  0.3333  0.6667  0.1154 x4